Record 1
First-principles (PBE) data for an optimized crystal structure of Nd5SmTl5, as listed in the Alexandria database.

Unit cell a=8.9329 b=8.9329 c=7.1702 alpha=97.52 beta=97.52 gamma=39.58
With the nearest neighbours (Å) after each atom.
Fractional positions:
Nd 0.0000 0.0000 0.0000  4 Tl 3.14-3.41
Nd 0.3220 0.3220 0.5796  5 Tl 3.12-3.32
Nd 0.3588 0.3588 0.0899  4 Tl 3.22-3.51
Nd 0.6412 0.6412 0.9101  4 Tl 3.22-3.51
Nd 0.6780 0.6780 0.4204  5 Tl 3.12-3.32
Sm 0.0000 0.0000 0.5000  4 Tl 3.02-3.18
Tl 0.1655 0.1655 0.7740  4 Nd 3.14-3.41, 1 Sm 3.18, 1 Tl 3.23
Tl 0.1739 0.1739 0.2271  5 Nd 3.14-3.39, 1 Tl 3.23
Tl 0.5000 0.5000 0.5000  2 Sm 3.02, 2 Nd 3.12
Tl 0.8261 0.8261 0.7729  5 Nd 3.14-3.39, 1 Tl 3.23
Tl 0.8345 0.8345 0.2260  4 Nd 3.14-3.41, 1 Sm 3.18, 1 Tl 3.23

Calculated formation energy (meV per atom): -147
DOS(E_F) (states/eV/f.u.): 13.6

---

Record 2
First-principles (PBE) data for an optimized crystal structure of Na2FeTeH, as listed in the Alexandria database.

Unit cell a=4.5102 b=4.5102 c=4.3564 alpha=90.00 beta=90.00 gamma=90.00
With the nearest neighbours (Å) after each atom.
Fractional positions:
Na 0.0000 0.5000 0.0000  2 H 2.26
Na 0.5000 0.0000 0.0000  2 H 2.26
Fe 0.0000 0.0000 0.5000  2 H 2.18
Te 0.5000 0.5000 0.5000  8 Na 3.14, 4 Fe 3.19
H 0.0000 0.0000 0.0000  2 Fe 2.18, 4 Na 2.26

DOS(E_F) (states/eV/f.u.): 5.5
Energy relative to the lowest polymorph listed for this composition (eV per atom): 0.000

---

Record 3
First-principles (PBE) data for an optimized crystal structure of Rb3Nd2NpS6, as listed in the Alexandria database.

Unit cell a=7.2785 b=7.2785 c=8.0775 alpha=98.63 beta=98.63 gamma=119.99
With the nearest neighbours (Å) after each atom.
Fractional positions:
Rb 0.0000 0.0000 0.0000  6 S 3.36-3.40
Rb 0.3317 0.6683 0.0000  6 S 3.36-3.39
Rb 0.6683 0.3317 0.0000  6 S 3.36-3.39
Nd 0.1658 0.8342 0.5000  6 S 2.87-2.88
Nd 0.8342 0.1658 0.5000  6 S 2.87-2.88
Np 0.5000 0.5000 0.5000  6 S 2.82
S 0.1072 0.4347 0.3046  1 Np 2.82, 2 Nd 2.87-2.88
S 0.2380 0.2380 0.6966  1 Np 2.82, 2 Nd 2.87
S 0.4347 0.1072 0.3046  1 Np 2.82, 2 Nd 2.87-2.88
S 0.5653 0.8928 0.6954  1 Np 2.82, 2 Nd 2.87-2.88
S 0.7620 0.7620 0.3034  1 Np 2.82, 2 Nd 2.87
S 0.8928 0.5653 0.6954  1 Np 2.82, 2 Nd 2.87-2.88

E_form (uncorrected) (kcal/mol of atoms): -38.2
DOS(E_F) (states/eV/f.u.): 7.8

---

E list, top to bottom, in eV per atom: -3.82; -3.51; -5.84